VASP calculation (PBE-GGA) on a geometry-optimized SmTm4Th6 structure.

```
data_SmTm4Th6
_chemical_formula_sum 'Sm1 Tm4 Th6'
_symmetry_space_group_name_H-M 'P 1'
_symmetry_Int_Tables_number 1
_symmetry_space_group_name_Hall 'P 1'
_cell_length_a 10.168
_cell_length_b 10.168
_cell_length_c 10.168
_cell_angle_alpha 143.73
_cell_angle_beta 143.73
_cell_angle_gamma 52.24
loop_
_atom_site_label
_atom_site_type_symbol
_atom_site_fract_x
_atom_site_fract_y
_atom_site_fract_z
Sm1 Sm 0.000 0.000 0.000
Tm1 Tm 0.187 0.187 0.629
Tm2 Tm 0.442 0.813 0.000
Tm3 Tm 0.558 0.558 0.371
Tm4 Tm 0.813 0.442 0.000
Th1 Th 0.000 0.500 0.500
Th2 Th 0.001 0.001 0.621
Th3 Th 0.380 0.380 0.379
Th4 Th 0.500 0.000 0.500
Th5 Th 0.620 0.999 0.000
Th6 Th 0.999 0.620 0.000
```

Results
- Crystal system: tetragonal
- Space group: No. 121
- ΔE_f: 417 meV/atom
- VASP energy: -5.685 eV per atom
- Mass density: 10069 kg/m3

---

VASP calculation (PBE-GGA) on a geometry-optimized Sm8Tm2Th structure.

```
data_Sm8Tm2Th
_chemical_formula_sum 'Sm8 Tm2 Th1'
_symmetry_space_group_name_H-M 'P 1'
_symmetry_Int_Tables_number 1
_symmetry_space_group_name_Hall 'P 1'
_cell_length_a 10.270
_cell_length_b 10.270
_cell_length_c 5.630
_cell_angle_alpha 93.52
_cell_angle_beta 93.52
_cell_angle_gamma 39.43
loop_
_atom_site_label
_atom_site_type_symbol
_atom_site_fract_x
_atom_site_fract_y
_atom_site_fract_z
Sm1 Sm 0.046 0.046 0.235
Sm2 Sm 0.104 0.632 0.271
Sm3 Sm 0.314 0.314 0.774
Sm4 Sm 0.368 0.896 0.729
Sm5 Sm 0.632 0.104 0.271
Sm6 Sm 0.686 0.686 0.226
Sm7 Sm 0.896 0.368 0.729
Sm8 Sm 0.954 0.954 0.765
Tm1 Tm 0.217 0.217 0.254
Tm2 Tm 0.783 0.783 0.746
Th1 Th 0.500 0.500 0.000
```

Results
- Crystal system: monoclinic
- Space group: No. 12
- ΔE_f: 190 meV/atom
- VASP energy: -4.730 eV per atom
- Mass density: 7821 kg/m3

---

VASP calculation (PBE-GGA) on a geometry-optimized Sm5Tm4Th4 structure.

```
data_Sm5Tm4Th4
_chemical_formula_sum 'Sm5 Tm4 Th4'
_symmetry_space_group_name_H-M 'P 1'
_symmetry_Int_Tables_number 1
_symmetry_space_group_name_Hall 'P 1'
_cell_length_a 9.451
_cell_length_b 9.451
_cell_length_c 9.451
_cell_angle_alpha 94.09
_cell_angle_beta 94.09
_cell_angle_gamma 149.00
loop_
_atom_site_label
_atom_site_type_symbol
_atom_site_fract_x
_atom_site_fract_y
_atom_site_fract_z
Sm1 Sm 0.000 0.000 0.000
Sm2 Sm 0.304 0.462 0.766
Sm3 Sm 0.462 0.696 0.158
Sm4 Sm 0.538 0.304 0.842
Sm5 Sm 0.696 0.538 0.234
Tm1 Tm 0.154 0.234 0.388
Tm2 Tm 0.234 0.846 0.080
Tm3 Tm 0.766 0.154 0.920
Tm4 Tm 0.846 0.766 0.612
Th1 Th 0.074 0.615 0.689
Th2 Th 0.385 0.074 0.459
Th3 Th 0.615 0.926 0.541
Th4 Th 0.926 0.385 0.311
```

Results
- Crystal system: tetragonal
- Space group: No. 87
- ΔE_f: 35 meV/atom
- VASP energy: -5.439 eV per atom
- Mass density: 9338 kg/m3

---

VASP calculation (PBE-GGA) on a geometry-optimized Sm3Tm12Th structure.

```
data_Sm3Tm12Th
_chemical_formula_sum 'Sm3 Tm12 Th1'
_symmetry_space_group_name_H-M 'P 1'
_symmetry_Int_Tables_number 1
_symmetry_space_group_name_Hall 'P 1'
_cell_length_a 4.977
_cell_length_b 4.977
_cell_length_c 19.930
_cell_angle_alpha 90.00
_cell_angle_beta 90.00
_cell_angle_gamma 90.00
loop_
_atom_site_label
_atom_site_type_symbol
_atom_site_fract_x
_atom_site_fract_y
_atom_site_fract_z
Sm1 Sm 0.000 0.000 0.000
Sm2 Sm 0.000 0.000 0.251
Sm3 Sm 0.000 0.000 0.749
Tm1 Tm 0.000 0.500 0.126
Tm2 Tm 0.000 0.500 0.377
Tm3 Tm 0.000 0.500 0.623
Tm4 Tm 0.000 0.500 0.874
Tm5 Tm 0.500 0.000 0.126
Tm6 Tm 0.500 0.000 0.377
Tm7 Tm 0.500 0.000 0.623
Tm8 Tm 0.500 0.000 0.874
Tm9 Tm 0.500 0.500 0.000
Tm10 Tm 0.500 0.500 0.250
Tm11 Tm 0.500 0.500 0.500
Tm12 Tm 0.500 0.500 0.750
Th1 Th 0.000 0.000 0.500
```

Results
- Crystal system: tetragonal
- Space group: No. 123
- ΔE_f: 28 meV/atom
- VASP energy: -4.675 eV per atom
- Mass density: 9115 kg/m3